Entry from Alexandria: a relaxed SrLiCrO4 crystal (GGA+U).

The calculation puts the uncorrected energy at -6.42 eV/atom.

The space group is I-4 (No. 82) and the conventional cell measures 5.438, 5.438 and 8.024 Å, with angles of 90.00, 90.00 and 90.00 degrees. The distinct sites, in fractional coordinates, are Sr at (0.000, 0.000, 0.000), Li at (0.000, 0.000, 0.500), Cr at (0.000, 0.500, 0.750) and O at (0.146, 0.286, 0.625).